one) # GeBS2 | Alexandria via LeMat-Bulk | GGA-PBE | optimized geometry
data_GeBS2
_chemical_formula_sum 'Ge4 B4 S8'
_space_group_name_H-M_alt 'F m -3 m'
_space_group_IT_number 225
_space_group_name_Hall '-F 4 2 3'
_cell_length_a 6.192
_cell_length_b 6.192
_cell_length_c 6.192
_cell_angle_alpha 90.00
_cell_angle_beta 90.00
_cell_angle_gamma 90.00
loop_
_atom_site_label
_atom_site_type_symbol
_atom_site_fract_x
_atom_site_fract_y
_atom_site_fract_z
Ge1 Ge 0.000 0.000 0.000
B1 B 0.000 0.000 0.500
S1 S 0.250 0.250 0.250
# M_tot (μB/atom): 0.000
# Crystal system: cubic
# Calculated volume (Å³/atom): 14.8

---

two) # GeBS2 | Alexandria via LeMat-Bulk | GGA-PBE | optimized geometry
data_GeBS2
_chemical_formula_sum 'Ge3 B3 S6'
_space_group_name_H-M_alt 'R -3 m'
_space_group_IT_number 166
_space_group_name_Hall '-R 3 2"'
_cell_length_a 3.7858
_cell_length_b 3.7858
_cell_length_c 20.7826
_cell_angle_alpha 90.00
_cell_angle_beta 90.00
_cell_angle_gamma 120.00
loop_
_atom_site_label
_atom_site_type_symbol
_atom_site_fract_x
_atom_site_fract_y
_atom_site_fract_z
Ge1 Ge 0.0000 0.0000 0.0000
B1 B 0.0000 0.0000 0.5000
S1 S 0.0000 0.0000 0.4182
# M_tot (μB/atom): 0.000
# Crystal system: trigonal
# Calculated volume (Å³/atom): 21.5

---

Stability summary - winner: two); margin: 852 meV per atom.